Below is a relaxed structure of LaBeNbFe, with properties calculated at the PBE level.

crystal system = cubic
magnetization = 0.0 μB/cell
energy relative to the lowest polymorph listed for this composition = 43.4 kJ/mol of formula units
space-group type = F-43m (216)
energy = -24.7 eV per cell

The structure in extended XYZ format:
```
4
Lattice="0.0000 3.1620 3.1620 3.1620 0.0000 3.1620 3.1620 3.1620 0.0000" Properties=species:S:1:pos:R:3 pbc="T T T"
Be 4.7430 4.7430 4.7430
Fe 3.1620 3.1620 3.1620
La 1.5810 1.5810 1.5810
Nb 0.0000 0.0000 0.0000
```

---

Below is a relaxed structure of SmGdCuTe3, with properties calculated at the PBE level.

crystal system = monoclinic
magnetization = 0.0 μB/cell
space-group type = P2_1/m (11)
energy = -57.6 eV per cell

The structure in extended XYZ format:
```
12
Lattice="4.1876 0.0000 0.0000 0.0000 11.2095 0.0000 -1.9481 0.0000 7.1732" Properties=species:S:1:pos:R:3 pbc="T T T"
Gd 2.0938 5.6047 0.0000
Te 2.2240 0.7756 5.0429
Te 2.2239 2.8024 1.3275
Te 0.0156 8.4071 5.8457
Cu 4.0211 8.4071 0.4294
Sm 2.0948 8.4071 3.3266
Cu -1.7817 2.8024 6.7439
Te 2.2240 4.8292 5.0429
Te 0.0155 6.3803 2.1304
Sm 0.1447 2.8024 3.8467
Te 0.0155 10.4339 2.1304
Gd 2.0938 0.0000 0.0000
```

---

Below is a relaxed structure of Zr2TcOs, with properties calculated at the PBE level.

crystal system = cubic
magnetization = 0.0 μB/cell
ΔE_f = -46.18 kJ/mol of atoms
space-group type = Fm-3m (225)
energy = -243.6 eV per cell

The structure in extended XYZ format:
```
24
Lattice="-3.2149 -3.3291 -0.3593 2.8389 -3.2744 4.9373 -8.0414 6.7811 9.1208" Properties=species:S:1:pos:R:3 pbc="T T T"
Os -4.2087 0.0888 6.8494
Zr 0.5216 -4.1203 3.5233
Tc -5.6282 1.7260 4.3807
Os -2.6803 2.2602 3.0401
Tc -3.9406 2.8828 8.5482
Zr -0.8977 -2.4832 1.0548
Os -5.3611 4.5209 6.0807
Tc 1.4194 -1.6372 2.4687
Zr -5.9915 4.8324 8.8351
Os 0.0000 0.0000 0.0000
Zr -6.2587 2.0375 7.1352
Zr -3.3110 2.5720 5.7947
Zr -3.5782 -0.2227 4.0950
Os -6.8891 2.3490 9.8895
Zr -0.6305 0.3116 2.7545
Zr -2.1588 -1.8599 6.5637
Tc -8.3096 3.9871 7.4221
Os -1.5284 -2.1714 3.8093
Zr 0.7889 -1.3256 5.2231
Zr -4.8393 0.4003 9.6039
Tc -1.2620 0.6240 5.5100
Zr -1.8915 0.9347 8.2635
Tc -2.9467 -0.5351 1.3394
Zr -4.5721 3.1952 11.3037
```

---

Below is a relaxed structure of LaLuOs, with properties calculated at the PBE level.

crystal system = cubic
magnetization = 0.0 μB/cell
energy relative to the lowest polymorph listed for this composition = 80.8 kJ/mol of formula units
ΔE_f = 82.20 kJ/mol of atoms
space-group type = F-43m (216)
energy = -18.1 eV per cell

The structure in extended XYZ format:
```
3
Lattice="0.0000 3.3507 3.3507 3.3507 0.0000 3.3507 3.3507 3.3507 0.0000" Properties=species:S:1:pos:R:3 pbc="T T T"
Os 5.0261 5.0261 5.0261
Lu 1.6754 1.6754 1.6754
La 0.0000 0.0000 0.0000
```